HfWSe3 | PBE | optimized geometry

The polymorph energy (0 for the lowest one) comes out at 0.000 eV per atom. For the density of states at the Fermi level, the calculation gives 1.045 states/eV/atom. Its total magnetization is 0.21 μB/atom. The calculation puts the calculated volume at 117.7 Å³/f.u. The uncorrected formation energy is 2.556 eV per formula unit.

The structure belongs to space group Pm-3m (No. 221); the cell edges are 4.9009, 4.9009 and 4.9009 Å and the angles 90.00°, 90.00° and 90.00°. The asymmetric unit holds Hf at (0.0000, 0.0000, 0.0000), W at (0.5000, 0.5000, 0.5000) and Se at (0.0000, 0.5000, 0.5000).